Density functional theory data (GGA+U) for a relaxed Ba2CaMnO5 crystal.

Output
**Crystal system**: orthorhombic
**E**: -233.17 eV for the cell shown

CIF file:
```
data_Ba2CaMnO5
_space_group_name_H-M_alt 'C m c 21'
_space_group_IT_number 36
_cell_length_a 3.7061
_cell_length_b 13.7612
_cell_length_c 11.5534
_cell_angle_alpha 90.00
_cell_angle_beta 90.00
_cell_angle_gamma 90.00
loop_
_space_group_symop_operation_xyz
'x,y,z'
'-x,-y,z+1/2'
'-x,y,z'
'x,-y,z+1/2'
'x+1/2,y+1/2,z'
'-x+1/2,-y+1/2,z+1/2'
'-x+1/2,y+1/2,z'
'x+1/2,-y+1/2,z+1/2'
loop_
_atom_site_label
_atom_site_type_symbol
_atom_site_fract_x
_atom_site_fract_y
_atom_site_fract_z
_atom_site_occupancy
Ba1 Ba 0.0000 0.0994 0.0000 1
Ba2 Ba 0.0000 0.1575 0.6387 1
Ca1 Ca 0.0000 0.2013 0.3465 1
Mn1 Mn 0.0000 0.4779 0.7618 1
O1 O 0.0000 0.0320 0.3070 1
O2 O 0.0000 0.2841 0.9772 1
O3 O 0.0000 0.3418 0.7199 1
O4 O 0.0000 0.3853 0.3209 1
O5 O 0.0000 0.4834 0.1108 1
```